Compound: AcTb8Ho4
Source: the Alexandria database
Functional: PBE-GGA
Structure: optimized geometry

As for the density of states at the Fermi level: 1.469 states/eV/atom. The value obtained for the formation energy is 0.1015 eV per atom. The calculated volume is 32.99 A^3/atom.

The space group is C2/m (No. 12) and the conventional cell measures 10.159, 7.021 and 12.424 Å, with angles of 90.00, 104.54 and 90.00 degrees. Symmetry generates all atoms from Ac at (0.000, 0.000, 0.000), Tb at (0.089, 0.264, 0.787), Tb at (0.150, 0.500, 0.065), Tb at (0.192, 0.000, 0.346), Ho at (0.000, 0.257, 0.500) and Ho at (0.217, 0.500, 0.358).


Compound: CaGa6Au12
Source: the Alexandria database
Functional: PBE-GGA
Structure: optimized geometry

As for the density of states at the Fermi level: 0.276 states/eV/atom. The value obtained for the formation energy is -0.2056 eV per atom. The calculated volume is 19.63 A^3/atom.

The space group is R-3m (No. 166, hexagonal axes) and the conventional cell measures 12.0768, 12.0768 and 8.8595 Å, with angles of 90.00, 90.00 and 120.00 degrees. Symmetry generates all atoms from Ca at (0.0000, 0.0000, 0.0000), Ga at (0.0582, 0.5291, 0.2469), Au at (0.0000, 0.3816, 0.5000) and Au at (0.0812, 0.1624, 0.2932).


Compound: RbCa2Sn6
Source: the Alexandria database
Functional: PBE-GGA
Structure: optimized geometry

As for the density of states at the Fermi level: 0.322 states/eV/atom. The value obtained for the formation energy is -0.3220 eV per atom. The calculated volume is 32.97 A^3/atom.

The space group is Immm (No. 71) and the conventional cell measures 4.847, 7.855 and 15.587 Å, with angles of 90.00, 90.00 and 90.00 degrees. Symmetry generates all atoms from Rb at (0.000, 0.000, 0.000), Ca at (0.000, 0.500, 0.118), Sn at (0.000, 0.186, 0.500) and Sn at (0.000, 0.299, 0.307).


Compound: TaBe2In
Source: the Alexandria database
Functional: PBE-GGA
Structure: optimized geometry

As for the density of states at the Fermi level: 0.374 states/eV/atom. The value obtained for the formation energy is 0.2673 eV per atom. The calculated volume is 14.26 A^3/atom.

The space group is Pm (No. 6) and the conventional cell measures 3.010, 3.879 and 5.106 Å, with angles of 90.00, 106.93 and 90.00 degrees. Symmetry generates all atoms from Ta at (0.000, 0.000, 0.000), Be at (0.587, 0.500, 0.176), Be at (0.718, 0.000, 0.439) and In at (0.318, 0.500, 0.637).


Compound: CdRu2Br
Source: the Alexandria database
Functional: PBE-GGA
Structure: optimized geometry

As for the density of states at the Fermi level: 0.798 states/eV/atom. The formation energy from raw total energies comes out at 64.35 kJ per mole of atoms. The calculated volume is 16.76 A^3/atom. Its distance to the lowest polymorph of the same formula is 387 meV per atom.

The space group is R-3m (No. 166, hexagonal axes) and the conventional cell measures 2.9933, 2.9933 and 25.9170 Å, with angles of 90.00, 90.00 and 120.00 degrees. Symmetry generates all atoms from Cd at (0.0000, 0.0000, 0.0000), Ru at (0.0000, 0.0000, 0.2448) and Br at (0.0000, 0.0000, 0.5000).


Compound: PmMgCu
Source: the Alexandria database
Functional: PBE-GGA
Structure: optimized geometry

As for the density of states at the Fermi level: 1.277 states/eV/atom. The value obtained for the formation energy is -0.0369 eV per atom. The calculated volume is 24.90 A^3/atom. Its distance to the lowest polymorph of the same formula is 148 meV per atom.

The space group is F-43m (No. 216) and the conventional cell measures 6.685, 6.685 and 6.685 Å, with angles of 90.00, 90.00 and 90.00 degrees. Symmetry generates all atoms from Pm at (0.000, 0.000, 0.000), Mg at (0.000, 0.000, 0.500) and Cu at (0.250, 0.250, 0.250).


Compound: ThSnGe2
Source: the Alexandria database
Functional: PBE-GGA
Structure: optimized geometry

As for the density of states at the Fermi level: 0.525 states/eV/atom. The value obtained for the formation energy is -0.2705 eV per atom. The calculated volume is 23.65 A^3/atom. Its distance to the lowest polymorph of the same formula is 187 meV per atom.

The space group is P4/mmm (No. 123) and the conventional cell measures 3.858, 3.858 and 6.357 Å, with angles of 90.00, 90.00 and 90.00 degrees. Symmetry generates all atoms from Th at (0.000, 0.000, 0.000), Sn at (0.000, 0.000, 0.500) and Ge at (0.500, 0.500, 0.274).


Compound: BeCl3
Source: the Alexandria database
Functional: PBE-GGA
Structure: optimized geometry

As for the density of states at the Fermi level: 0.440 states/eV/atom. The formation energy from raw total energies comes out at -7.64 kJ per mole of atoms. The calculated volume is 22.58 A^3/atom. Its distance to the lowest polymorph of the same formula is 713 meV per atom.

The space group is P4/mmm (No. 123) and the conventional cell measures 2.937, 2.937 and 10.470 Å, with angles of 90.00, 90.00 and 90.00 degrees. Symmetry generates all atoms from Be at (0.000, 0.000, 0.000), Cl at (0.000, 0.000, 0.500) and Cl at (0.500, 0.500, 0.136).